(1)
Below is crystalline Co2Rh at its relaxed geometry, with properties calculated at the PBE-GGA level.

Properties
The symmetry is Pmmm, No. 47. As for the formation energy: 6.1 kJ per mole of atoms. The calculation puts the density of states at the Fermi level at 1.529 states/eV/atom. Its volume is 12.26 A^3/atom.

Unit cell a=2.617 b=7.833 c=3.590 alpha=90.00 beta=90.00 gamma=90.00
Sites, in units of the cell vectors:
Co1 0.000 0.013 0.000
Co2 0.500 0.167 0.500
Co3 0.000 0.320 0.000
Co4 0.000 0.667 0.000
Rh1 0.500 0.493 0.500
Rh2 0.500 0.840 0.500

***

(2)
Below is crystalline Co7Rh at its relaxed geometry, with properties calculated at the PBE-GGA level.

Properties
The energy relative to the lowest polymorph listed for this composition is 21 meV per atom. The symmetry is Fm-3m, No. 225. As for the formation energy: 4.2 kJ per mole of atoms. The calculation puts the density of states at the Fermi level at 1.172 states/eV/atom. Its volume is 11.54 A^3/atom.

Unit cell a=5.073 b=5.073 c=5.073 alpha=60.00 beta=60.00 gamma=60.00
Sites, in units of the cell vectors:
Co1 0.000 0.000 0.500
Co2 0.000 0.500 0.000
Co3 0.000 0.500 0.500
Co4 0.500 0.000 0.000
Co5 0.500 0.000 0.500
Co6 0.500 0.500 0.000
Co7 0.500 0.500 0.500
Rh1 0.000 0.000 0.000